A:
First-principles (PBE-GGA) data for a geometry-optimized Te2N2Cl structure, as listed in the Alexandria database.

abc: 4.0409 4.0409 6.5850
angles: 90.00 90.00 90.00
Closest atoms and distances in Å follow each position.
Positions (direct):
Te  0.0000  0.0000  0.0000  4 N 2.02
Te  0.0000  0.0000  0.5000  4 Cl 2.86
N  0.0000  0.5000  0.0000  2 Te 2.02
N  0.5000  0.0000  0.0000  2 Te 2.02
Cl  0.5000  0.5000  0.5000  4 Te 2.86

Computed properties:
- space-group type = No. 123



B:
First-principles (PBE-GGA) data for a geometry-optimized Te2N2Cl structure, as listed in the Alexandria database.

abc: 4.6931 4.6931 3.9842
angles: 90.00 90.00 90.00
Closest atoms and distances in Å follow each position.
Positions (direct):
Te  0.0000  0.5000  0.0000  2 N 2.35
Te  0.5000  0.0000  0.0000  2 N 2.35
N  0.0000  0.0000  0.0000  2 N 1.99
N  0.0000  0.0000  0.5000  2 N 1.99
Cl  0.5000  0.5000  0.5000  8 Te 3.08, 4 N 3.32

Computed properties:
- space-group type = No. 123



Calculated relative energies: A 0.000; B 0.314, given in eV/atom



A:
First-principles (PBE-GGA) data for a geometry-optimized Te2N2Cl structure, as listed in the Alexandria database.

abc: 6.4873 6.4873 3.2416
angles: 90.00 90.00 90.00
Closest atoms and distances in Å follow each position.
Positions (direct):
Te  0.0000  0.5000  0.0000  2 Te 3.24, 2 Cl 3.24, 8 N 3.63
Te  0.5000  0.0000  0.0000  2 Te 3.24, 2 Cl 3.24, 8 N 3.63
N  0.0000  0.0000  0.5000  2 Cl 1.62
N  0.5000  0.5000  0.5000  2 N 3.24, 8 Te 3.63
Cl  0.0000  0.0000  0.0000  2 N 1.62

Computed properties:
- space-group type = No. 123



B:
First-principles (PBE-GGA) data for a geometry-optimized Te2N2Cl structure, as listed in the Alexandria database.

abc: 4.2674 4.2674 8.0920
angles: 90.00 90.00 90.00
Closest atoms and distances in Å follow each position.
Positions (direct):
Te  0.0000  0.0000  0.0000  4 Te 3.02
Te  0.5000  0.5000  0.0000  4 Te 3.02
N  0.0000  0.5000  0.5000  2 Cl 2.13
N  0.5000  0.0000  0.5000  2 Cl 2.13
Cl  0.0000  0.0000  0.5000  4 N 2.13

Computed properties:
- space-group type = No. 123



C:
First-principles (PBE-GGA) data for a geometry-optimized Te2N2Cl structure, as listed in the Alexandria database.

abc: 3.7324 4.0036 7.2079
angles: 87.05 86.63 69.18
Closest atoms and distances in Å follow each position.
Positions (direct):
Te  0.0745  0.2150  0.1816  3 N 2.05-2.22
Te  0.9255  0.7850  0.8184  3 N 2.05-2.22
N  0.1174  0.2218  0.8965  3 Te 2.05-2.22
N  0.8826  0.7782  0.1035  3 Te 2.05-2.22
Cl  0.5000  0.5000  0.5000  4 Te 3.02-3.33

Computed properties:
- space-group type = No. 2



Calculated relative energies: A 1.740; B 1.447; C 0.000, given in eV/atom



A:
First-principles (PBE-GGA) data for a geometry-optimized TiTeN2Cl structure, as listed in the Alexandria database.

abc: 4.0463 4.0463 5.0603
angles: 90.00 90.00 90.00
Closest atoms and distances in Å follow each position.
Positions (direct):
Ti  0.0000  0.0000  0.0000  4 Te 2.86
Te  0.5000  0.5000  0.0000  2 Cl 2.53
N  0.0000  0.5000  0.5000  2 Cl 2.02
N  0.5000  0.0000  0.5000  2 Cl 2.02
Cl  0.5000  0.5000  0.5000  4 N 2.02

Computed properties:
- space-group type = No. 123



B:
First-principles (PBE-GGA) data for a geometry-optimized TiTeN2Cl structure, as listed in the Alexandria database.

abc: 3.9232 3.9232 5.9238
angles: 90.00 90.00 90.00
Closest atoms and distances in Å follow each position.
Positions (direct):
Ti  0.0000  0.0000  0.0000  4 N 1.96
Te  0.0000  0.0000  0.5000  4 Cl 2.77, 2 Ti 2.96
N  0.0000  0.5000  0.0000  2 Ti 1.96
N  0.5000  0.0000  0.0000  2 Ti 1.96
Cl  0.5000  0.5000  0.5000  4 Te 2.77

Computed properties:
- space-group type = No. 123



Calculated relative energies: A 1.500; B 0.000, given in eV/atom



A:
First-principles (PBE-GGA) data for a geometry-optimized TlTe2NCl structure, as listed in the Alexandria database.

abc: 6.0044 6.0044 4.0901
angles: 90.00 90.00 90.00
Closest atoms and distances in Å follow each position.
Positions (direct):
Tl  0.0000  0.0000  0.0000  2 N 2.05
Te  0.0000  0.5000  0.0000  2 Tl 3.00
Te  0.5000  0.0000  0.0000  2 Tl 3.00
N  0.0000  0.0000  0.5000  2 Tl 2.05
Cl  0.5000  0.5000  0.5000  8 Te 3.63

Computed properties:
- space-group type = No. 123



B:
First-principles (PBE-GGA) data for a geometry-optimized TlTe2NCl structure, as listed in the Alexandria database.

abc: 6.6687 6.6687 3.3017
angles: 90.00 90.00 90.00
Closest atoms and distances in Å follow each position.
Positions (direct):
Tl  0.0000  0.0000  0.0000  2 Tl 3.30
Te  0.0000  0.5000  0.5000  2 Te 3.30, 2 Cl 3.33
Te  0.5000  0.0000  0.5000  2 Te 3.30, 2 Cl 3.33
N  0.5000  0.5000  0.0000  2 Cl 1.65
Cl  0.5000  0.5000  0.5000  2 N 1.65

Computed properties:
- space-group type = No. 123



Calculated relative energies: A 0.273; B 0.000, given in eV/atom